No. 1
# La2Y SCAN PBEsol geometry
data_La2Y
_chemical_formula_sum 'La2 Y1'
_cell_length_a 3.5941
_cell_length_b 3.5941
_cell_length_c 8.8480
_cell_angle_alpha 90.00
_cell_angle_beta 90.00
_cell_angle_gamma 120.00
_symmetry_space_group_name_H-M 'P -3 m 1'
_symmetry_Int_Tables_number 164
_symmetry_space_group_name_Hall '-P 3 2"'
loop_
_atom_site_label
_atom_site_type_symbol
_atom_site_fract_x
_atom_site_fract_y
_atom_site_fract_z
La1 La 0.3333 0.6667 0.1690
Y1 Y 0.0000 0.0000 0.5000
# Calculated formation energy in eV/atom: 0.030

***

No. 2
Tl2HN: PBEsol geometry, SCAN.

Structure (CIF):
```
data_Tl2HN
_chemical_formula_sum 'Tl8 H4 N4'
_cell_length_a 6.223
_cell_length_b 6.223
_cell_length_c 6.223
_cell_angle_alpha 90.00
_cell_angle_beta 90.00
_cell_angle_gamma 90.00
_symmetry_space_group_name_H-M 'F m -3 m'
_symmetry_Int_Tables_number 225
_symmetry_space_group_name_Hall '-F 4 2 3'
loop_
_atom_site_label
_atom_site_type_symbol
_atom_site_fract_x
_atom_site_fract_y
_atom_site_fract_z
Tl1 Tl 0.250 0.250 0.250
H1 H 0.000 0.000 0.000
N1 N 0.000 0.000 0.500
```

***

No. 3
# SrLi4Mg SCAN PBEsol geometry
data_SrLi4Mg
_chemical_formula_sum 'Sr4 Li16 Mg4'
_cell_length_a 8.375
_cell_length_b 8.375
_cell_length_c 8.375
_cell_angle_alpha 90.00
_cell_angle_beta 90.00
_cell_angle_gamma 90.00
_symmetry_space_group_name_H-M 'F -4 3 m'
_symmetry_Int_Tables_number 216
_symmetry_space_group_name_Hall 'F -4 2 3'
loop_
_atom_site_label
_atom_site_type_symbol
_atom_site_fract_x
_atom_site_fract_y
_atom_site_fract_z
Sr1 Sr 0.000 0.000 0.000
Li1 Li 0.122 0.122 0.378
Mg1 Mg 0.250 0.250 0.750
# Calculated formation energy in eV/atom: -0.018

***

no.,uncorrected energy (Ry/atom)
1,-2.792
2,-2.809
3,-0.452